Entry 1:
A geometry-optimized HgB2HBr structure. Source: Alexandria, functional GGA-PBEsol.

a b c (Å): 3.375 4.387 4.387
angles (deg): 90.00 90.00 90.00
Atoms (fractional coordinates):
1 Hg 0.500 0.500 0.500
2 H 0.500 0.000 0.000
3 B 0.000 0.500 0.000
4 Br 0.000 0.000 0.000
5 B 0.000 0.000 0.500

Computed properties:
Its total energy is -11.3 eV per cell. The density of states at the Fermi level comes out at 2.01 states/eV/f.u. The value obtained for the theoretical density is 7.75 g/cm3. The space-group type is P4/mmm, No. 123.

Entry 2:
A geometry-optimized Rb3B12H12Br structure. Source: Alexandria, functional GGA-PBEsol.

a b c (Å): 6.877 6.877 6.877
angles (deg): 93.18 93.18 93.18
Atoms (fractional coordinates):
1 H 0.214 0.214 0.722
2 Br 0.500 0.500 0.500
3 B 0.837 0.124 0.124
4 B 0.876 0.876 0.163
5 B 0.237 0.060 0.060
6 Rb 0.500 0.500 0.000
7 B 0.763 0.940 0.940
8 H 0.897 0.593 0.897
9 B 0.124 0.837 0.124
10 B 0.060 0.060 0.237
11 B 0.940 0.940 0.763
12 B 0.940 0.763 0.940
13 H 0.278 0.786 0.786
14 H 0.897 0.897 0.593
15 H 0.593 0.897 0.897
16 H 0.103 0.407 0.103
17 B 0.876 0.163 0.876
18 H 0.786 0.278 0.786
19 H 0.407 0.103 0.103
20 B 0.124 0.124 0.837
21 H 0.214 0.722 0.214
22 B 0.163 0.876 0.876
23 B 0.060 0.237 0.060
24 Rb 0.000 0.500 0.500
25 Rb 0.500 0.000 0.500
26 H 0.722 0.214 0.214
27 H 0.103 0.103 0.407
28 H 0.786 0.786 0.278

Computed properties:
Its total energy is -141.7 eV per cell. The density of states at the Fermi level comes out at 0.00 states/eV/f.u. The value obtained for the theoretical density is 2.45 g/cm3. The space-group type is R-3m, No. 166.

Entry 3:
A geometry-optimized Re2BHBr structure. Source: Alexandria, functional GGA-PBEsol.

a b c (Å): 3.924 4.572 4.572
angles (deg): 90.00 90.00 90.00
Last column: magnetic moment on the atom in μB.
Atoms (fractional coordinates):
1 H 0.500 0.500 0.500  -0.04
2 Re 0.000 0.000 0.500  0.79
3 Re 0.000 0.500 0.000  0.79
4 Br 0.000 0.000 0.000  -0.01
5 B 0.500 0.000 0.000  -0.01

Computed properties:
Its total energy is -22.5 eV per cell. The density of states at the Fermi level comes out at 4.23 states/eV/f.u. The value obtained for the theoretical density is 9.40 g/cm3. The space-group type is P4/mmm, No. 123.

Entry 4:
A geometry-optimized BHSe2Br structure. Source: Alexandria, functional GGA-PBEsol.

a b c (Å): 4.379 4.379 4.729
angles (deg): 90.00 90.00 90.00
Last column: magnetic moment on the atom in μB.
Atoms (fractional coordinates):
1 B 0.000 0.000 0.000  -0.01
2 Br 0.000 0.000 0.500  -0.02
3 Se 0.500 0.000 0.000  0.01
4 H 0.500 0.500 0.500  0.30
5 Se 0.000 0.500 0.000  -0.02

Computed properties:
Its total energy is -14.6 eV per cell. The density of states at the Fermi level comes out at 4.30 states/eV/f.u. The value obtained for the theoretical density is 4.57 g/cm3. The space-group type is P4/mmm, No. 123.

Entry 5:
A geometry-optimized SrB2HBr structure. Source: Alexandria, functional GGA-PBEsol.

a b c (Å): 5.681 5.681 5.821
angles (deg): 90.00 90.00 90.00
Last column: magnetic moment on the atom in μB.
Atoms (fractional coordinates):
1 H 0.500 0.500 0.500  0.36
2 Sr 0.000 0.000 0.000  0.15
3 B 0.000 0.500 0.000  0.40
4 Br 0.000 0.000 0.500  0.01
5 B 0.500 0.000 0.000  0.40

Computed properties:
Its total energy is -10.9 eV per cell. The density of states at the Fermi level comes out at 2.78 states/eV/f.u. The value obtained for the theoretical density is 1.68 g/cm3. The space-group type is P4/mmm, No. 123.

Entry 6:
A geometry-optimized HfBBr2 structure. Source: Alexandria, functional GGA-PBEsol.

a b c (Å): 5.869 5.869 5.869
angles (deg): 105.19 105.19 118.43
Atoms (fractional coordinates):
1 Hf 0.000 0.000 0.000
2 Br 0.125 0.613 0.988
3 Br 0.863 0.875 0.488
4 Hf 0.250 0.750 0.500
5 B 0.500 0.500 0.000
6 B 0.750 0.250 0.500
7 Br 0.625 0.137 0.012
8 Br 0.387 0.375 0.512

Computed properties:
The value obtained for the uncorrected formation energy is 0.72 eV per atom. The density of states at the Fermi level comes out at 2.03 states/eV/f.u. The value obtained for the theoretical density is 7.59 g/cm3. The space-group type is I-42d, No. 122.

Entry 7:
A geometry-optimized HgB2Br structure. Source: Alexandria, functional GGA-PBEsol.

a b c (Å): 4.526 4.526 4.526
angles (deg): 60.00 60.00 60.00
Atoms (fractional coordinates):
1 B 0.250 0.250 0.250
2 Hg 0.500 0.500 0.500
3 Br 0.000 0.000 0.000
4 B 0.750 0.750 0.750

Computed properties:
The value obtained for the uncorrected formation energy is 1.92 eV per atom. The density of states at the Fermi level comes out at 2.51 states/eV/f.u. The value obtained for the theoretical density is 7.65 g/cm3. The space-group type is Fm-3m, No. 225.

Entry 8:
A geometry-optimized HgBSeBr2 structure. Source: Alexandria, functional GGA-PBEsol.

a b c (Å): 5.183 5.374 5.374
angles (deg): 90.00 90.00 90.00
Atoms (fractional coordinates):
1 Se 0.500 0.000 0.000
2 B 0.500 0.500 0.500
3 Br 0.000 0.000 0.500
4 Hg 0.000 0.000 0.000
5 Br 0.000 0.500 0.000

Computed properties:
The value obtained for the uncorrected formation energy is 1.15 eV per atom. The density of states at the Fermi level comes out at 3.95 states/eV/f.u. The value obtained for the theoretical density is 4.99 g/cm3. The space-group type is P4/mmm, No. 123.